TlSbPtI2 | GGA-PBE | relaxed

Lattice parameters (Å, degrees): 5.796 5.796 5.130 90.00 90.00 90.00
Last column: magnetic moment on the atom in μB.
Positions (direct):
I 0.000 0.500 0.000  0.02
I 0.500 0.000 0.000  0.02
Sb 0.000 0.000 0.500  0.11
Tl 0.500 0.500 0.500  0.01
Pt 0.000 0.000 0.000  0.03

Values from the calculation:
Energy relative to the elements, uncorrected   -0.012 eV/atom
Symmetry   P4/mmm, No. 123
Crystal system   tetragonal



Pm2Cu3NiSn4 | GGA-PBE | relaxed

Lattice parameters (Å, degrees): 4.460 4.460 10.545 90.00 90.00 90.00
Positions (direct):
Pm 0.500 0.000 0.265
Pm 0.000 0.500 0.735
Cu 0.000 0.000 0.500
Cu 0.500 0.000 0.861
Cu 0.000 0.500 0.139
Ni 0.500 0.500 0.500
Sn 0.500 0.500 0.000
Sn 0.000 0.000 0.000
Sn 0.500 0.000 0.622
Sn 0.000 0.500 0.378

Values from the calculation:
Symmetry   P-4m2, No. 115
E_form   -4.2 eV/f.u.
Crystal system   tetragonal



Ba5Mg2In | GGA-PBE | relaxed

Lattice parameters (Å, degrees): 6.183 7.818 15.090 90.00 90.00 90.00
Positions (direct):
Ba 0.500 0.344 0.105
Ba 0.500 0.656 0.895
Ba 0.500 0.844 0.395
Ba 0.500 0.156 0.605
Ba 0.000 0.853 0.720
Ba 0.000 0.147 0.280
Ba 0.000 0.353 0.780
Ba 0.000 0.647 0.220
Ba 0.000 0.500 0.500
Ba 0.000 0.000 0.000
Mg 0.500 0.366 0.367
Mg 0.500 0.634 0.633
Mg 0.500 0.134 0.867
Mg 0.500 0.866 0.133
In 0.000 0.000 0.500
In 0.000 0.500 0.000

Values from the calculation:
Symmetry   Pbam, No. 55
E_form   -0.9 eV/f.u.
Crystal system   orthorhombic



Pr12ErCd6 | GGA-PBE | relaxed

Lattice parameters (Å, degrees): 8.387 8.387 8.387 87.96 87.96 87.96
Positions (direct):
Pr 0.808 0.532 0.431
Pr 0.431 0.808 0.532
Pr 0.532 0.431 0.808
Pr 0.192 0.468 0.569
Pr 0.569 0.192 0.468
Pr 0.468 0.569 0.192
Pr 0.044 0.154 0.386
Pr 0.846 0.614 0.956
Pr 0.614 0.956 0.846
Pr 0.956 0.846 0.614
Pr 0.154 0.386 0.044
Pr 0.386 0.044 0.154
Er 0.000 0.000 0.000
Cd 0.740 0.887 0.256
Cd 0.744 0.260 0.113
Cd 0.113 0.744 0.260
Cd 0.260 0.113 0.744
Cd 0.256 0.740 0.887
Cd 0.887 0.256 0.740

Values from the calculation:
Symmetry   R-3, No. 148
E_form   -2.1 eV/f.u.
Crystal system   trigonal



ScAsCl2 | GGA-PBE | relaxed

Lattice parameters (Å, degrees): 9.714 9.714 9.714 19.99 19.99 19.99
Last column: magnetic moment on the atom in μB.
Positions (direct):
Sc 0.000 0.000 0.000  0.05
As 0.500 0.500 0.500  0.14
Cl 0.917 0.917 0.917  0.00
Cl 0.083 0.083 0.083  0.00

Values from the calculation:
Energy relative to the elements, uncorrected   -0.308 eV/atom
Symmetry   R-3m, No. 166
Crystal system   trigonal



Tb2PuAs | GGA-PBE | relaxed

Lattice parameters (Å, degrees): 3.769 3.769 10.508 79.67 79.67 60.00
Last column: magnetic moment on the atom in μB.
Positions (direct):
As 0.500 0.500 0.500  0.01
Tb 0.110 0.110 0.671  0.04
Tb 0.890 0.890 0.329  0.04
Pu 0.000 0.000 0.000  5.78

Values from the calculation:
Symmetry   R-3m, No. 166
E_form   -1.1 eV/f.u.
Crystal system   trigonal



TiSi3Pd | GGA-PBE | relaxed

Lattice parameters (Å, degrees): 4.711 4.711 4.711 90.00 90.00 90.00
Positions (direct):
Si 0.000 0.500 0.000
Si 0.000 0.000 0.500
Si 0.500 0.000 0.000
Pd 0.500 0.500 0.500
Ti 0.000 0.000 0.000

Values from the calculation:
Energy relative to the elements, uncorrected   0.747 eV/atom
Symmetry   Pm-3m, No. 221
Crystal system   cubic



Y3Tm | GGA-PBE | relaxed

Lattice parameters (Å, degrees): 3.630 5.622 6.288 90.00 90.00 90.00
Positions (direct):
Y 0.000 0.500 0.332
Y 0.500 0.000 0.499
Y 0.500 0.500 0.835
Tm 0.000 0.000 0.000

Values from the calculation:
Symmetry   Pmm2, No. 25
E_form   0.0 eV/f.u.
Crystal system   orthorhombic



CrOs2Au | GGA-PBE | relaxed

Lattice parameters (Å, degrees): 9.314 9.314 9.314 16.81 16.81 16.81
Positions (direct):
Au 0.750 0.750 0.750
Cr 0.250 0.250 0.250
Os 0.991 0.991 0.991
Os 0.509 0.509 0.509

Values from the calculation:
Symmetry   R-3m, No. 166
E_form   1.0 eV/f.u.
Crystal system   trigonal



BeHg3Ge | GGA-PBE | relaxed

Lattice parameters (Å, degrees): 5.396 5.396 5.396 90.00 90.00 90.00
Positions (direct):
Be 0.500 0.500 0.500
Ge 0.000 0.000 0.000
Hg 0.000 0.500 0.000
Hg 0.000 0.000 0.500
Hg 0.500 0.000 0.000

Values from the calculation:
Symmetry   Pm-3m, No. 221
E_form   3.9 eV/f.u.
Crystal system   cubic



KTc2Cl | GGA-PBE | relaxed

Lattice parameters (Å, degrees): 3.087 3.087 8.546 90.00 90.00 90.00
Positions (direct):
K 0.500 0.500 0.721
Tc 0.000 0.000 0.073
Tc 0.500 0.500 0.224
Cl 0.000 0.000 0.481

Values from the calculation:
Energy relative to the elements, uncorrected   0.118 eV/atom
Symmetry   P4mm, No. 99
Crystal system   tetragonal



Mg2NbZn | GGA-PBE | relaxed

Lattice parameters (Å, degrees): 2.933 2.933 10.507 81.98 81.98 60.00
Positions (direct):
Mg 0.092 0.092 0.724
Mg 0.908 0.908 0.276
Nb 0.000 0.000 0.000
Zn 0.500 0.500 0.500

Values from the calculation:
Symmetry   R-3m, No. 166
E_form   1.4 eV/f.u.
Crystal system   trigonal